Entry 1:
DFT (PBE) results for an optimized crystal structure of Fe2AgTe.

crystal system = tetragonal
space-group type = I4/mmm (139)
formation energy from raw total energies = 0.4687 eV per atom
E_tot = -21.04 eV per cell

Unit cell a=4.972 b=4.972 c=4.972 alpha=131.87 beta=131.87 gamma=70.44
Sites, in units of the cell vectors:
Fe  0.250  0.750  0.500
Fe  0.750  0.250  0.500
Ag  0.000  0.000  0.000
Te  0.500  0.500  0.000


Entry 2:
DFT (PBE) results for an optimized crystal structure of SnHgCl3.

polymorph energy (0 for the lowest one) = 64 meV/atom
crystal system = cubic
space-group type = Pm-3m (221)
formation energy from raw total energies = -0.6223 eV per atom
E_tot = -12.96 eV per cell

Unit cell a=5.337 b=5.337 c=5.337 alpha=90.00 beta=90.00 gamma=90.00
Sites, in units of the cell vectors:
Sn  0.000  0.000  0.000
Hg  0.500  0.500  0.500
Cl  0.000  0.000  0.500
Cl  0.000  0.500  0.000
Cl  0.500  0.000  0.000


Entry 3:
DFT (PBE) results for an optimized crystal structure of Tm3Ni3Sb4.

crystal system = cubic
space-group type = I-43d (220)
formation energy from raw total energies = -0.7779 eV per atom
E_tot = -110.05 eV per cell

Unit cell a=8.163 b=8.163 c=8.163 alpha=109.47 beta=109.47 gamma=109.47
Sites, in units of the cell vectors:
Tm  0.125  0.875  0.250
Tm  0.250  0.125  0.875
Tm  0.375  0.625  0.750
Tm  0.625  0.750  0.375
Tm  0.750  0.375  0.625
Tm  0.875  0.250  0.125
Ni  0.125  0.750  0.875
Ni  0.250  0.625  0.375
Ni  0.375  0.250  0.625
Ni  0.625  0.375  0.250
Ni  0.750  0.875  0.125
Ni  0.875  0.125  0.750
Sb  0.000  0.142  0.500
Sb  0.000  0.642  0.500
Sb  0.142  0.500  0.000
Sb  0.358  0.358  0.358
Sb  0.500  0.000  0.142
Sb  0.500  0.000  0.642
Sb  0.642  0.500  0.000
Sb  0.858  0.858  0.858


Entry 4:
DFT (PBE) results for an optimized crystal structure of Pm5CuRu4.

crystal system = tetragonal
space-group type = P4/mmm (123)
energy of formation = -0.166 eV/atom
E_tot = -66.61 eV per cell

Unit cell a=3.489 b=3.489 c=17.789 alpha=90.00 beta=90.00 gamma=90.00
Sites, in units of the cell vectors:
Pm  0.000  0.000  0.000
Pm  0.000  0.000  0.195
Pm  0.000  0.000  0.392
Pm  0.000  0.000  0.608
Pm  0.000  0.000  0.805
Cu  0.500  0.500  0.500
Ru  0.500  0.500  0.098
Ru  0.500  0.500  0.299
Ru  0.500  0.500  0.701
Ru  0.500  0.500  0.902


Entry 5:
DFT (PBE) results for an optimized crystal structure of CrCu2P.

crystal system = tetragonal
space-group type = I-42d (122)
energy of formation = 0.236 eV/atom
E_tot = -44.56 eV per cell

Unit cell a=5.394 b=5.394 c=5.394 alpha=100.77 beta=100.77 gamma=128.78
Sites, in units of the cell vectors:
Cr  0.000  0.000  0.000
Cr  0.750  0.250  0.500
Cu  0.169  0.625  0.044
Cu  0.375  0.419  0.544
Cu  0.581  0.125  0.956
Cu  0.875  0.831  0.456
P  0.250  0.750  0.500
P  0.500  0.500  0.000


Entry 6:
DFT (PBE) results for an optimized crystal structure of Ti2SiIr.

crystal system = tetragonal
space-group type = I-42d (122)
formation energy from raw total energies = -0.0916 eV per atom
E_tot = -60.88 eV per cell

Unit cell a=9.339 b=9.339 c=9.339 alpha=156.51 beta=156.51 gamma=33.46
Sites, in units of the cell vectors:
Ti  0.111  0.625  0.986
Ti  0.375  0.361  0.486
Ti  0.639  0.125  0.014
Ti  0.875  0.889  0.514
Si  0.000  0.000  0.000
Si  0.750  0.250  0.500
Ir  0.250  0.750  0.500
Ir  0.500  0.500  0.000


Entry 7:
DFT (PBE) results for an optimized crystal structure of LaBiSe3.

polymorph energy (0 for the lowest one) = 912 meV/atom
crystal system = cubic
space-group type = Pm-3m (221)
formation energy from raw total energies = -0.2759 eV per atom
E_tot = -20.64 eV per cell

Unit cell a=5.692 b=5.692 c=5.692 alpha=90.00 beta=90.00 gamma=90.00
Sites, in units of the cell vectors:
La  0.000  0.000  0.000
Bi  0.500  0.500  0.500
Se  0.000  0.000  0.500
Se  0.000  0.500  0.000
Se  0.500  0.000  0.000


Entry 8:
DFT (PBE) results for an optimized crystal structure of BeGa2Te.

polymorph energy (0 for the lowest one) = 0 meV/atom
crystal system = tetragonal
space-group type = I-42d (122)
formation energy from raw total energies = 0.2263 eV per atom
E_tot = -24.03 eV per cell

Unit cell a=7.047 b=7.047 c=7.047 alpha=130.65 beta=130.65 gamma=72.36
Sites, in units of the cell vectors:
Be  0.000  0.000  0.000
Be  0.750  0.250  0.500
Ga  0.056  0.625  0.931
Ga  0.375  0.306  0.431
Ga  0.694  0.125  0.069
Ga  0.875  0.944  0.569
Te  0.250  0.750  0.500
Te  0.500  0.500  0.000


Entry 9:
DFT (PBE) results for an optimized crystal structure of TePPbS2.

polymorph energy (0 for the lowest one) = 0 meV/atom
crystal system = tetragonal
space-group type = P4/mmm (123)
formation energy from raw total energies = 0.5639 eV per atom
E_tot = -17.70 eV per cell

Unit cell a=5.423 b=5.423 c=5.336 alpha=90.00 beta=90.00 gamma=90.00
Sites, in units of the cell vectors:
Te  0.000  0.000  0.000
P  0.000  0.000  0.500
Pb  0.500  0.500  0.500
S  0.000  0.500  0.000
S  0.500  0.000  0.000


Entry 10:
DFT (PBE) results for an optimized crystal structure of As3Pt5.

polymorph energy (0 for the lowest one) = 284 meV/atom
crystal system = hexagonal
space-group type = P6_3/mcm (193)
energy of formation = 0.066 eV/atom
E_tot = -87.25 eV per cell

Unit cell a=6.909 b=6.909 c=7.004 alpha=90.00 beta=90.00 gamma=120.00
Sites, in units of the cell vectors:
As  0.000  0.417  0.250
As  0.000  0.583  0.750
As  0.417  0.000  0.250
As  0.417  0.417  0.750
As  0.583  0.000  0.750
As  0.583  0.583  0.250
Pt  0.000  0.230  0.750
Pt  0.000  0.770  0.250
Pt  0.230  0.000  0.750
Pt  0.230  0.230  0.250
Pt  0.333  0.667  0.000
Pt  0.333  0.667  0.500
Pt  0.667  0.333  0.000
Pt  0.667  0.333  0.500
Pt  0.770  0.000  0.250
Pt  0.770  0.770  0.750


Entry 11:
DFT (PBE) results for an optimized crystal structure of BaTeAsSe2.

polymorph energy (0 for the lowest one) = 0 meV/atom
crystal system = tetragonal
space-group type = P4/mmm (123)
formation energy from raw total energies = -0.4227 eV per atom
E_tot = -18.80 eV per cell

Unit cell a=5.494 b=5.494 c=5.296 alpha=90.00 beta=90.00 gamma=90.00
Sites, in units of the cell vectors:
Ba  0.000  0.000  0.000
Te  0.500  0.500  0.500
As  0.500  0.500  0.000
Se  0.000  0.500  0.500
Se  0.500  0.000  0.500


Entry 12:
DFT (PBE) results for an optimized crystal structure of BeFe2Pt.

crystal system = tetragonal
space-group type = P4/mmm (123)
energy of formation = -0.153 eV/atom
E_tot = -27.30 eV per cell

Unit cell a=2.629 b=2.629 c=6.730 alpha=90.00 beta=90.00 gamma=90.00
Sites, in units of the cell vectors:
Be  0.000  0.000  0.000
Fe  0.500  0.500  0.210
Fe  0.500  0.500  0.790
Pt  0.000  0.000  0.500


What is the E_tot in the tenth record? -87.25 eV per cell


E_tot of number 4 (Pm5CuRu4)? -66.61 eV per cell


Among the records above, which one has the highest E_tot? SnHgCl3